# HfInSi3, optimized geometry, DFT GGA-PBEsol
# SG   Pm-3m (221)
# Calculated total energy   -23.8 eV/cell
# Raw formation energy   1.380 eV per atom
data_HfInSi3
_cell_length_a 4.8870
_cell_length_b 4.8870
_cell_length_c 4.8870
_cell_angle_alpha 90.00
_cell_angle_beta 90.00
_cell_angle_gamma 90.00
_space_group_name_H-M_alt 'P 1'
_space_group_IT_number 1
loop_
_space_group_symop_operation_xyz
'x,y,z'
loop_
_atom_site_label
_atom_site_fract_x
_atom_site_fract_y
_atom_site_fract_z
Si1 0.0000 0.0000 0.5000
Hf1 0.5000 0.5000 0.5000
Si2 0.5000 0.0000 0.0000
In1 0.0000 0.0000 0.0000
Si3 0.0000 0.5000 0.0000